1.
Here is an optimized crystal structure of PtI2OF from Alexandria via LeMat-Bulk. Energies are from PBE.

Space group: P4/mmm (123)
Magnetic moment, Bohr magnetons per cell: 0.8
Formation energy (no corrections), eV per formula unit: 4.595
ΔE to the lowest computed polymorph, meV/atom: 892
Energy, eV for the cell shown: -11.4

Cell lengths 5.1703, 5.1703, 3.6297 Å; angles 90.00, 90.00, 90.00 degrees
With the nearest neighbours (Å) after each atom.
Sites, in units of the cell vectors:
1 Pt 0.0000 0.0000 0.0000  8 I 3.16
2 I 0.0000 0.5000 0.5000  2 F 2.59
3 I 0.5000 0.0000 0.5000  2 F 2.59
4 O 0.5000 0.5000 0.0000  2 F 1.81
5 F 0.5000 0.5000 0.5000  2 O 1.81


2.
Here is an optimized crystal structure of PtIO2F from Alexandria via LeMat-Bulk. Energies are from PBE.

Space group: P4/mmm (123)
Magnetic moment, Bohr magnetons per cell: 3.9
Formation energy (no corrections), eV per formula unit: 5.750
Energy, eV for the cell shown: -13.6

Cell lengths 4.2309, 4.2309, 4.3468 Å; angles 90.00, 90.00, 90.00 degrees
With the nearest neighbours (Å) after each atom.
Sites, in units of the cell vectors:
1 Pt 0.0000 0.0000 0.0000  4 I 2.99, 8 O 3.03
2 I 0.5000 0.5000 0.0000  2 F 2.17
3 O 0.0000 0.5000 0.5000  2 F 2.12
4 O 0.5000 0.0000 0.5000  2 F 2.12
5 F 0.5000 0.5000 0.5000  4 O 2.12, 2 I 2.17


3.
Here is an optimized crystal structure of PtIO2F from Alexandria via LeMat-Bulk. Energies are from PBE.

Space group: P4/mmm (123)
Magnetic moment, Bohr magnetons per cell: 0.9
Formation energy (no corrections), eV per formula unit: 0.403
Energy, eV for the cell shown: -19.0

Cell lengths 4.0729, 4.0729, 4.4304 Å; angles 90.00, 90.00, 90.00 degrees
With the nearest neighbours (Å) after each atom.
Sites, in units of the cell vectors:
1 Pt 0.0000 0.0000 0.0000  4 O 2.04, 2 F 2.22
2 I 0.5000 0.5000 0.5000  4 F 2.88, 8 O 3.01
3 O 0.0000 0.5000 0.0000  2 Pt 2.04
4 O 0.5000 0.0000 0.0000  2 Pt 2.04
5 F 0.0000 0.0000 0.5000  2 Pt 2.22


4.
Here is an optimized crystal structure of PtI2OF from Alexandria via LeMat-Bulk. Energies are from PBE.

Space group: P4/mmm (123)
Magnetic moment, Bohr magnetons per cell: 0.0
Formation energy (no corrections), eV per formula unit: 0.136
ΔE to the lowest computed polymorph, meV/atom: 0
Energy, eV for the cell shown: -15.8

Cell lengths 5.6510, 5.6510, 3.7319 Å; angles 90.00, 90.00, 90.00 degrees
With the nearest neighbours (Å) after each atom.
Sites, in units of the cell vectors:
1 Pt 0.0000 0.0000 0.0000  2 O 1.87
2 I 0.0000 0.5000 0.0000  2 Pt 2.83
3 I 0.5000 0.0000 0.0000  2 Pt 2.83
4 O 0.0000 0.0000 0.5000  2 Pt 1.87
5 F 0.5000 0.5000 0.5000  8 I 3.39, 2 F 3.73